{
  "formula": "AlCu5Pd5",
  "functional": "GGA-PBE",
  "state": "optimized geometry",
  "cell": [[4.7937, 0.0000, 0.0000], [-0.2778, 4.9182, 0.0000], [-0.6011, -0.3731, 6.6365]],
  "species": ["Al", "Cu", "Cu", "Cu", "Cu", "Cu", "Pd", "Pd", "Pd", "Pd", "Pd"],
  "frac_coords": [[0.0000, 0.0000, 0.0000], [0.2565, 0.6994, 0.7198], [0.2756, 0.4080, 0.3749], [0.5000, 0.0000, 0.5000], [0.7244, 0.5920, 0.6251], [0.7435, 0.3006, 0.2802], [0.0000, 0.5000, 0.0000], [0.0031, 0.8326, 0.3436], [0.4977, 0.2300, 0.8809], [0.5023, 0.7700, 0.1191], [0.9969, 0.1674, 0.6564]],
  "ef_ev_per_atom": -0.18,
  "sg": "No. 2",
  "dos_at_fermi_per_ev_atom": 0.3714,
  "density_g_cm3": 9.3
}